This record from Alexandria via LeMat-Bulk describes ScMo2Br after structural relaxation. The functional is GGA-PBEsol.

Excess energy over the best structure of this formula in the dataset (meV per atom): 4
ΔE_f (raw) (eV/atom): 0.327
Density of states at the Fermi level (states/eV/atom): 0.9047
Calculated total energy (eV/cell): -30.70

Lattice parameters (Å, degrees): 3.1456 4.3012 5.7955 111.65 105.57 90.47
With the nearest neighbours (Å) after each atom.
Fractional positions:
1 Sc 0.5000 0.0000 0.0000  4 Br 2.65-2.67, 4 Mo 2.90
2 Br 0.0000 0.5000 0.0000  4 Sc 2.65-2.67, 4 Mo 2.90
3 Mo 0.0000 0.0000 0.5000  4 Mo 2.65-2.67, 2 Sc 2.90, 2 Br 2.90
4 Mo 0.5000 0.5000 0.5000  4 Mo 2.65-2.67, 2 Br 2.90, 2 Sc 2.90

***

This record from Alexandria via LeMat-Bulk describes Ca3MnTc after structural relaxation. The functional is GGA-PBEsol.

Excess energy over the best structure of this formula in the dataset (meV per atom): 0
Density of states at the Fermi level (states/eV/atom): 1.3002
Calculated total energy (eV/cell): -22.38

Lattice parameters (Å, degrees): 5.3312 5.3312 5.3312 90.00 90.00 90.00
With the nearest neighbours (Å) after each atom.
Fractional positions:
1 Ca 0.5000 0.0000 0.0000  2 Tc 2.67
2 Ca 0.0000 0.0000 0.5000  2 Tc 2.67
3 Ca 0.0000 0.5000 0.0000  2 Tc 2.67
4 Mn 0.5000 0.5000 0.5000  12 Ca 3.77
5 Tc 0.0000 0.0000 0.0000  6 Ca 2.67

***

This record from Alexandria via LeMat-Bulk describes FeCuAs after structural relaxation. The functional is GGA-PBEsol.

Density of states at the Fermi level (states/eV/atom): 0.8935
Calculated total energy (eV/cell): -17.56

Lattice parameters (Å, degrees): 2.6907 2.6907 5.8692 101.40 101.40 97.93
With the nearest neighbours (Å) after each atom.
Fractional positions:
1 Fe 0.6676 0.6676 0.3352  4 Cu 2.46-2.66, 4 As 2.49-2.68, 4 Fe 2.69
2 Cu 0.3210 0.3210 0.6420  4 Fe 2.46-2.66, 4 Cu 2.69
3 As 0.0114 0.0114 0.0228  4 Fe 2.49-2.68, 4 As 2.69, 2 Cu 2.77

***

This record from Alexandria via LeMat-Bulk describes MgRu2Se after structural relaxation. The functional is GGA-PBEsol.

Excess energy over the best structure of this formula in the dataset (meV per atom): 42
ΔE_f (raw) (eV/atom): 0.096
Density of states at the Fermi level (states/eV/atom): 0.7865
Calculated total energy (eV/cell): -25.53

Lattice parameters (Å, degrees): 3.0849 4.2709 4.2709 90.00 90.00 90.00
With the nearest neighbours (Å) after each atom.
Fractional positions:
1 Se 0.5000 0.5000 0.5000  8 Ru 2.63
2 Ru 0.0000 0.5000 0.0000  4 Se 2.63, 4 Mg 2.63
3 Ru 0.0000 0.0000 0.5000  4 Se 2.63, 4 Mg 2.63
4 Mg 0.5000 0.0000 0.0000  8 Ru 2.63

***

This record from Alexandria via LeMat-Bulk describes Ga3PbI after structural relaxation. The functional is GGA-PBEsol.

ΔE_f (raw) (eV/atom): 0.744
Density of states at the Fermi level (states/eV/atom): 1.0060
Calculated total energy (eV/cell): -12.07

Lattice parameters (Å, degrees): 5.6377 5.6377 5.6377 90.00 90.00 90.00
With the nearest neighbours (Å) after each atom.
Fractional positions:
1 Ga 0.0000 0.5000 0.0000  2 I 2.82
2 Ga 0.0000 0.0000 0.5000  2 I 2.82
3 Ga 0.5000 0.0000 0.0000  2 I 2.82
4 Pb 0.5000 0.5000 0.5000  12 Ga 3.99
5 I 0.0000 0.0000 0.0000  6 Ga 2.82

***

This record from Alexandria via LeMat-Bulk describes Cd3FeC after structural relaxation. The functional is GGA-PBEsol.

Density of states at the Fermi level (states/eV/atom): 1.0843
Calculated total energy (eV/cell): -16.16

Lattice parameters (Å, degrees): 4.4651 4.4651 4.4651 90.00 90.00 90.00
With the nearest neighbours (Å) after each atom.
Fractional positions:
1 Cd 0.0000 0.0000 0.5000  2 C 2.23
2 Cd 0.0000 0.5000 0.0000  2 C 2.23
3 Cd 0.5000 0.0000 0.0000  2 C 2.23
4 C 0.0000 0.0000 0.0000  6 Cd 2.23
5 Fe 0.5000 0.5000 0.5000  12 Cd 3.16

***

This record from Alexandria via LeMat-Bulk describes Li3CdO after structural relaxation. The functional is GGA-PBEsol.

ΔE_f (raw) (eV/atom): -0.939
Density of states at the Fermi level (states/eV/atom): 0.3814
Calculated total energy (eV/cell): -17.04

Lattice parameters (Å, degrees): 4.0122 4.0122 4.0122 90.00 90.00 90.00
With the nearest neighbours (Å) after each atom.
Fractional positions:
1 Li 0.0000 0.0000 0.5000  2 O 2.01
2 Li 0.5000 0.0000 0.0000  2 O 2.01
3 Li 0.0000 0.5000 0.0000  2 O 2.01
4 Cd 0.5000 0.5000 0.5000  12 Li 2.84
5 O 0.0000 0.0000 0.0000  6 Li 2.01

***

This record from Alexandria via LeMat-Bulk describes Mg2Ga after structural relaxation. The functional is GGA-PBEsol.

Density of states at the Fermi level (states/eV/atom): 0.4019
Calculated total energy (eV/cell): -13.99

Lattice parameters (Å, degrees): 4.6855 5.4323 5.4323 120.00 90.00 90.00
With the nearest neighbours (Å) after each atom.
Fractional positions:
1 Mg 0.0000 0.0000 0.3509  4 Ga 2.93, 6 Mg 3.02-3.06
2 Mg 0.0000 0.3509 0.0000  4 Ga 2.93, 6 Mg 3.02-3.06
3 Mg 0.0000 0.6491 0.6491  4 Ga 2.93, 6 Mg 3.02-3.06
4 Mg 0.5000 0.0000 0.0000  6 Mg 3.02, 6 Ga 3.14
5 Ga 0.5000 0.6667 0.3333  9 Mg 2.93-3.14, 3 Ga 3.14
6 Ga 0.5000 0.3333 0.6667  9 Mg 2.93-3.14, 3 Ga 3.14

***

This record from Alexandria via LeMat-Bulk describes CdHgRu2 after structural relaxation. The functional is GGA-PBEsol.

Excess energy over the best structure of this formula in the dataset (meV per atom): 209
Density of states at the Fermi level (states/eV/atom): 1.2404
Calculated total energy (eV/cell): -20.11

Lattice parameters (Å, degrees): 2.8599 4.7596 5.6136 115.08 104.76 90.00
With the nearest neighbours (Å) after each atom.
Fractional positions:
1 Ru 0.0206 0.0206 0.0411  2 Ru 2.49
2 Ru 0.7297 0.2297 0.4593  2 Ru 2.49
3 Cd 0.4869 0.4869 0.9739  6 Ru 2.80-2.89, 2 Cd 2.86, 2 Hg 3.05
4 Hg 0.2628 0.7628 0.5257  6 Ru 2.80-2.89, 2 Hg 2.86, 2 Cd 3.05

***

This record from Alexandria via LeMat-Bulk describes BeRh2 after structural relaxation. The functional is GGA-PBEsol.

Density of states at the Fermi level (states/eV/atom): 1.4775
Calculated total energy (eV/cell): -42.32

Lattice parameters (Å, degrees): 4.4922 4.4922 4.4922 105.56 105.56 117.62
With the nearest neighbours (Å) after each atom.
Fractional positions:
1 Rh 0.1648 0.3352 0.5000  4 Be 2.34, 1 Rh 2.53
2 Rh 0.3352 0.8352 0.1704  4 Be 2.34, 1 Rh 2.53
3 Rh 0.6648 0.1648 0.8296  4 Be 2.34, 1 Rh 2.53
4 Rh 0.8352 0.6648 0.5000  4 Be 2.34, 1 Rh 2.53
5 Be 0.2500 0.2500 0.0000  2 Be 2.33, 8 Rh 2.34
6 Be 0.7500 0.7500 0.0000  2 Be 2.33, 8 Rh 2.34

***

This record from Alexandria via LeMat-Bulk describes Rb2CrCuSe after structural relaxation. The functional is GGA-PBEsol.

ΔE_f (raw) (eV/atom): 0.305
Density of states at the Fermi level (states/eV/atom): 0.2081
Calculated total energy (eV/cell): -18.95

Lattice parameters (Å, degrees): 4.7648 6.5275 6.5275 90.00 90.00 90.00
With the nearest neighbours (Å) after each atom.
Fractional positions:
1 Cr 0.5000 0.0000 0.0000  2 Se 2.38
2 Cu 0.5000 0.5000 0.5000  8 Rb 4.04
3 Se 0.0000 0.0000 0.0000  2 Cr 2.38
4 Rb 0.0000 0.0000 0.5000  2 Se 3.26
5 Rb 0.0000 0.5000 0.0000  2 Se 3.26

***

This record from Alexandria via LeMat-Bulk describes Ba2ScCl after structural relaxation. The functional is GGA-PBEsol.

Excess energy over the best structure of this formula in the dataset (meV per atom): 192
ΔE_f (raw) (eV/atom): -0.245
Density of states at the Fermi level (states/eV/atom): 1.4548
Calculated total energy (eV/cell): -13.89

Lattice parameters (Å, degrees): 4.6169 4.6169 8.0663 106.63 106.63 90.00
With the nearest neighbours (Å) after each atom.
Fractional positions:
1 Ba 0.0000 0.0000 0.0000  4 Cl 3.26
2 Ba 0.7500 0.2500 0.5000  4 Sc 3.26
3 Cl 0.5000 0.5000 0.0000  4 Ba 3.26
4 Sc 0.2500 0.7500 0.5000  4 Ba 3.26

***

This record from Alexandria via LeMat-Bulk describes Nb2Zn2NiO8 after structural relaxation. The functional is GGA-PBEsol.

ΔE_f (raw) (eV/atom): -1.887
Calculated total energy (eV/cell): -194.99

Lattice parameters (Å, degrees): 5.1852 5.8487 9.8373 107.29 90.61 90.00
With the nearest neighbours (Å) after each atom.
Fractional positions:
1 O 0.5803 0.3271 0.8887  1 Nb 1.86, 2 Ni 2.02
2 O 0.4197 0.6729 0.1113  1 Nb 1.86, 2 Ni 2.02
3 O 0.3713 0.4497 0.6155  3 Zn 1.95-2.09, 1 Nb 2.01
4 O 0.5541 0.0800 0.3574  1 Zn 1.95, 1 Nb 2.02
5 O 0.0879 0.0545 0.8685  2 Nb 1.99-2.05, 1 Ni 2.05
6 O 0.9121 0.9455 0.1315  2 Nb 1.99-2.05, 1 Ni 2.05
7 O 0.5879 0.8140 0.8685  2 Nb 1.99-2.05, 1 Ni 2.05
8 O 0.8712 0.1658 0.6155  3 Zn 1.95-2.09, 1 Nb 2.01
9 O 0.0541 0.2775 0.3574  1 Zn 1.95, 1 Nb 2.02
10 O 0.1288 0.8342 0.3845  3 Zn 1.95-2.09, 1 Nb 2.01
11 O 0.9459 0.7225 0.6426  1 Zn 1.95, 1 Nb 2.02
12 O 0.0803 0.5616 0.8887  1 Nb 1.86, 2 Ni 2.02
13 O 0.9197 0.4384 0.1113  1 Nb 1.86, 2 Ni 2.02
14 O 0.4459 0.9200 0.6426  1 Zn 1.95, 1 Nb 2.02
15 O 0.6288 0.5503 0.3845  3 Zn 1.95-2.09, 1 Nb 2.01
16 O 0.4121 0.1860 0.1315  2 Nb 1.99-2.05, 1 Ni 2.05
17 Zn 0.2402 0.1219 0.5582  4 O 1.95-2.09
18 Zn 0.2598 0.5638 0.4418  4 O 1.95-2.09
19 Zn 0.7598 0.8781 0.4418  4 O 1.95-2.09
20 Zn 0.7402 0.4362 0.5582  4 O 1.95-2.09
21 Nb 0.2445 0.7239 0.7769  5 O 1.86-2.05
22 Nb 0.7555 0.2761 0.2231  5 O 1.86-2.05
23 Nb 0.2555 0.9470 0.2231  5 O 1.86-2.05
24 Nb 0.7445 0.0530 0.7769  5 O 1.86-2.05
25 Ni 0.7500 0.6377 0.0000  6 O 2.02-2.05
26 Ni 0.2500 0.3623 0.0000  6 O 2.02-2.05

***

This record from Alexandria via LeMat-Bulk describes LiCdPt4 after structural relaxation. The functional is GGA-PBEsol.

Density of states at the Fermi level (states/eV/atom): 0.5714
Calculated total energy (eV/cell): -32.69

Lattice parameters (Å, degrees): 5.2320 5.2320 5.2320 60.00 60.00 60.00
With the nearest neighbours (Å) after each atom.
Fractional positions:
1 Li 0.0000 0.0000 0.0000  12 Pt 3.07, 4 Cd 3.20
2 Pt 0.6251 0.1246 0.6251  6 Pt 2.61-2.62
3 Pt 0.6251 0.6251 0.1246  6 Pt 2.61-2.62
4 Pt 0.1246 0.6251 0.6251  6 Pt 2.61-2.62
5 Pt 0.6251 0.6251 0.6251  6 Pt 2.61-2.62
6 Cd 0.2500 0.2500 0.2500  12 Pt 3.07, 4 Li 3.20

***

This record from Alexandria via LeMat-Bulk describes TlSiSe2 after structural relaxation. The functional is GGA-PBEsol.

ΔE_f (raw) (eV/atom): 0.240
Density of states at the Fermi level (states/eV/atom): 0.3419
Calculated total energy (eV/cell): -15.12

Lattice parameters (Å, degrees): 3.9199 3.9199 6.5697 107.36 107.36 90.00
With the nearest neighbours (Å) after each atom.
Fractional positions:
1 Se 0.7500 0.2500 0.5000  4 Tl 2.77
2 Se 0.0000 0.0000 0.0000  4 Si 2.77
3 Si 0.5000 0.5000 0.0000  4 Se 2.77
4 Tl 0.2500 0.7500 0.5000  4 Se 2.77

***

This record from Alexandria via LeMat-Bulk describes AlGaS3 after structural relaxation. The functional is GGA-PBEsol.

ΔE_f (raw) (eV/atom): -0.133
Density of states at the Fermi level (states/eV/atom): 0.7628
Calculated total energy (eV/cell): -21.25

Lattice parameters (Å, degrees): 4.6099 4.6099 4.6099 90.00 90.00 90.00
With the nearest neighbours (Å) after each atom.
Fractional positions:
1 S 0.0000 0.5000 0.0000  2 Al 2.30
2 S 0.0000 0.0000 0.5000  2 Al 2.30
3 S 0.5000 0.0000 0.0000  2 Al 2.30
4 Al 0.0000 0.0000 0.0000  6 S 2.30
5 Ga 0.5000 0.5000 0.5000  12 S 3.26

***

This record from Alexandria via LeMat-Bulk describes Cs3BiSe3 after structural relaxation. The functional is GGA-PBEsol.

ΔE_f (raw) (eV/atom): -0.948
Density of states at the Fermi level (states/eV/atom): 0.0000
Calculated total energy (eV/cell): -101.19

Lattice parameters (Å, degrees): 10.5377 10.5377 10.5377 90.00 90.00 90.00
With the nearest neighbours (Å) after each atom.
Fractional positions:
1 Se 0.5029 0.7111 0.8944  1 Bi 2.67
2 Se 0.6056 0.4971 0.2111  1 Bi 2.67
3 Se 0.2111 0.6056 0.4971  1 Bi 2.67
4 Se 0.8944 0.5029 0.7111  1 Bi 2.67
5 Se 0.3944 0.9971 0.2889  1 Bi 2.67
6 Se 0.4971 0.2111 0.6056  1 Bi 2.67
7 Se 0.1056 0.0029 0.7889  1 Bi 2.67
8 Se 0.7111 0.8944 0.5029  1 Bi 2.67
9 Se 0.0029 0.7889 0.1056  1 Bi 2.67
10 Se 0.9971 0.2889 0.3944  1 Bi 2.67
11 Se 0.2889 0.3944 0.9971  1 Bi 2.67
12 Se 0.7889 0.1056 0.0029  1 Bi 2.67
13 Cs 0.3117 0.6883 0.1883  6 Se 3.53-3.70
14 Cs 0.1785 0.6785 0.8215  6 Se 3.52-3.71
15 Cs 0.9293 0.4293 0.0707  6 Se 3.79-3.89
16 Cs 0.6883 0.1883 0.3117  6 Se 3.53-3.70
17 Cs 0.8215 0.1785 0.6785  6 Se 3.52-3.71
18 Cs 0.1883 0.3117 0.6883  6 Se 3.53-3.70
19 Cs 0.4293 0.0707 0.9293  6 Se 3.79-3.89
20 Cs 0.0707 0.9293 0.4293  6 Se 3.79-3.89
21 Cs 0.5707 0.5707 0.5707  6 Se 3.79-3.89
22 Cs 0.6785 0.8215 0.1785  6 Se 3.52-3.71
23 Cs 0.3215 0.3215 0.3215  6 Se 3.52-3.71
24 Cs 0.8117 0.8117 0.8117  6 Se 3.53-3.70
25 Bi 0.4710 0.9710 0.5290  3 Se 2.67
26 Bi 0.0290 0.0290 0.0290  3 Se 2.67
27 Bi 0.9710 0.5290 0.4710  3 Se 2.67
28 Bi 0.5290 0.4710 0.9710  3 Se 2.67

***

This record from Alexandria via LeMat-Bulk describes BeSbBr2 after structural relaxation. The functional is GGA-PBEsol.

Excess energy over the best structure of this formula in the dataset (meV per atom): 634
ΔE_f (raw) (eV/atom): 0.563
Density of states at the Fermi level (states/eV/atom): 0.6233
Calculated total energy (eV/cell): -10.04

Lattice parameters (Å, degrees): 4.0609 4.7009 4.7009 90.00 90.00 90.00
With the nearest neighbours (Å) after each atom.
Fractional positions:
1 Sb 0.5000 0.5000 0.5000  8 Br 3.11, 4 Be 3.32
2 Br 0.0000 0.5000 0.0000  4 Sb 3.11, 4 Be 3.11, 4 Br 3.32
3 Br 0.0000 0.0000 0.5000  4 Sb 3.11, 4 Be 3.11, 4 Br 3.32
4 Be 0.5000 0.0000 0.0000  8 Br 3.11, 4 Sb 3.32

***

This record from Alexandria via LeMat-Bulk describes CsBi2Br7 after structural relaxation. The functional is GGA-PBEsol.

ΔE_f (raw) (eV/atom): -0.952
Density of states at the Fermi level (states/eV/atom): 0.0000
Calculated total energy (eV/cell): -64.24

Lattice parameters (Å, degrees): 7.5257 9.6141 10.5752 76.51 83.76 76.70
With the nearest neighbours (Å) after each atom.
Fractional positions:
1 Br 0.4956 0.7612 0.6780  2 Bi 2.85-2.97
2 Br 0.3698 0.3776 0.9300  2 Bi 2.79-3.05
3 Br 0.0321 0.2093 0.2021  2 Bi 2.83-2.95
4 Br 0.9679 0.7907 0.7979  2 Bi 2.83-2.95
5 Br 0.7548 0.4825 0.4539  2 Bi 2.90-2.93
6 Br 0.8579 0.8761 0.4328  1 Bi 2.69
7 Br 0.7226 0.0194 0.0473  1 Bi 2.69
8 Br 0.2774 0.9806 0.9527  1 Bi 2.69
9 Br 0.8979 0.3454 0.8231  2 Bi 2.79-3.05
10 Br 0.6302 0.6224 0.0700  2 Bi 2.79-3.05
11 Br 0.1021 0.6546 0.1769  2 Bi 2.79-3.05
12 Br 0.1421 0.1239 0.5672  1 Bi 2.69
13 Br 0.5044 0.2388 0.3220  2 Bi 2.85-2.97
14 Br 0.2452 0.5175 0.5461  2 Bi 2.90-2.93
15 Bi 0.8718 0.6369 0.6273  5 Br 2.69-2.93
16 Bi 0.3066 0.6994 0.9404  5 Br 2.69-2.97
17 Bi 0.6934 0.3006 0.0596  5 Br 2.69-2.97
18 Bi 0.1282 0.3631 0.3727  5 Br 2.69-2.93
19 Cs 0.6168 0.1317 0.6874  12 Br 3.74-4.17
20 Cs 0.3832 0.8683 0.3126  12 Br 3.74-4.17

***

This record from Alexandria via LeMat-Bulk describes CoPtRh2 after structural relaxation. The functional is GGA-PBEsol.

Density of states at the Fermi level (states/eV/atom): 1.5646
Calculated total energy (eV/cell): -30.17

Lattice parameters (Å, degrees): 2.6331 4.5529 5.2189 115.59 104.17 90.98
With the nearest neighbours (Å) after each atom.
Fractional positions:
1 Co 0.0000 0.5000 0.0000  4 Pt 2.61-2.65, 4 Rh 2.62, 2 Co 2.63
2 Rh 0.0000 0.0000 0.5000  6 Rh 2.61-2.65, 2 Co 2.62, 2 Pt 2.62
3 Rh 0.5000 0.5000 0.5000  6 Rh 2.61-2.65, 2 Pt 2.62, 2 Co 2.62
4 Pt 0.5000 0.0000 0.0000  4 Co 2.61-2.65, 4 Rh 2.62, 2 Pt 2.63

***

no.,mass density (kg/m³)
1,7545
2,2994
3,8040
4,9013
5,5035
6,7556
7,3837
8,3282
9,12880
10,10383
11,2989
12,3750
13,5869
14,14752
15,7083
16,3270
17,4794
18,5377
19,5101
20,14096